Here is NiBP2Ru at its PBEsol-relaxed geometry from Alexandria via LeMat-Bulk. Energies are from SCAN.

The structure in POSCAR format:
```
NiBP2Ru
1.0
4.5124 0.0000 0.0000
0.0000 4.5124 0.0000
0.0000 0.0000 3.9140
Ni B P Ru
1 1 2 1
Direct
0.0000 0.0000 0.0000
0.5000 0.5000 0.0000
0.0000 0.5000 0.5000
0.5000 0.0000 0.5000
0.5000 0.5000 0.5000
```

Calculated values
- Fermi-level density of states: 2.90 states/eV/cell
- VASP energy: -14.783 eV/atom
- DFT formation energy: 512.7 kJ/mol of formula units
- Calculated volume: 15.9 Å³ per atom

=====

Here is NiB3Pb at its PBEsol-relaxed geometry from Alexandria via LeMat-Bulk. Energies are from SCAN.

The structure in POSCAR format:
```
NiB3Pb
1.0
3.9725 0.0000 0.0000
0.0000 3.9725 0.0000
0.0000 0.0000 3.9725
Ni B Pb
1 3 1
Direct
0.0000 0.0000 0.0000
0.0000 0.0000 0.5000
0.0000 0.5000 0.0000
0.5000 0.0000 0.0000
0.5000 0.5000 0.5000
```

Calculated values
- Fermi-level density of states: 1.59 states/eV/cell
- VASP energy: -21.629 eV/atom
- DFT formation energy: 588.3 kJ/mol of formula units
- Calculated volume: 12.5 Å³ per atom

=====

Here is NiB2TePb at its PBEsol-relaxed geometry from Alexandria via LeMat-Bulk. Energies are from SCAN.

The structure in POSCAR format:
```
NiB2TePb
1.0
4.3849 0.0000 0.0000
0.0000 4.3849 0.0000
0.0000 0.0000 6.0370
Ni B Te Pb
1 2 1 1
Direct
0.0000 0.0000 0.0000
0.0000 0.5000 0.5000
0.5000 0.0000 0.5000
0.5000 0.5000 0.0000
0.5000 0.5000 0.5000
```

Calculated values
- Fermi-level density of states: 2.94 states/eV/cell
- Raw formation energy: 2175 meV per atom
- VASP energy: -26.638 eV/atom
- Calculated volume: 23.2 Å³ per atom

=====

Here is Ni2B2Pd at its PBEsol-relaxed geometry from Alexandria via LeMat-Bulk. Energies are from SCAN.

The structure in POSCAR format:
```
Ni2B2Pd
1.0
-1.3681 1.3681 6.4637
1.3681 -1.3681 6.4637
1.3681 1.3681 -6.4637
Ni B Pd
2 2 1
Direct
0.1378 0.1378 0.0000
0.8622 0.8622 0.0000
0.2500 0.7500 0.5000
0.7500 0.2500 0.5000
0.5000 0.5000 0.0000
```

Calculated values
- Fermi-level density of states: 1.47 states/eV/cell
- VASP energy: -16.052 eV/atom
- DFT formation energy: -26.9 kJ/mol of formula units
- Calculated volume: 9.7 Å³ per atom

=====

Here is Pr2Ni5B4 at its PBEsol-relaxed geometry from Alexandria via LeMat-Bulk. Energies are from SCAN.

The structure in POSCAR format:
```
Pr2Ni5B4
1.0
4.8607 -2.5282 0.0000
4.8607 2.5282 0.0000
-3.9221 0.0000 5.4576
Pr Ni B
2 5 4
Direct
0.2246 0.2246 0.1467
0.7754 0.7754 0.8533
0.1726 0.6766 0.6264
0.3234 0.8274 0.3736
0.5000 0.5000 0.0000
0.6766 0.1726 0.6264
0.8274 0.3234 0.3736
0.0990 0.0990 0.6403
0.2790 0.2790 0.6586
0.7210 0.7210 0.3414
0.9010 0.9010 0.3597
```

Calculated values
- Fermi-level density of states: 4.80 states/eV/cell
- VASP energy: -18.410 eV/atom
- DFT formation energy: -509.2 kJ/mol of formula units
- Calculated volume: 12.2 Å³ per atom

=====

Here is PrNi12B6 at its PBEsol-relaxed geometry from Alexandria via LeMat-Bulk. Energies are from SCAN.

The structure in POSCAR format:
```
PrNi12B6
1.0
4.7325 -3.6541 0.0000
4.7325 3.6541 0.0000
0.0000 0.0000 10.9314
Pr Ni B
2 24 12
Direct
0.1674 0.8326 0.5000
0.8326 0.1674 0.0000
0.0051 0.6298 0.9384
0.1208 0.1450 0.7554
0.1450 0.1208 0.2554
0.1958 0.5407 0.7364
0.2097 0.5262 0.2762
0.2210 0.7790 0.1001
0.2738 0.3429 0.0686
0.3429 0.2738 0.5686
0.3702 0.9949 0.9384
0.4321 0.5679 0.9184
0.4593 0.8042 0.7364
0.4738 0.7903 0.2762
0.5262 0.2097 0.7762
0.5407 0.1958 0.2364
0.5679 0.4321 0.4184
0.6298 0.0051 0.4384
0.6571 0.7262 0.0686
0.7262 0.6571 0.5686
0.7790 0.2210 0.6001
0.7903 0.4738 0.7762
0.8042 0.4593 0.2364
0.8550 0.8792 0.7554
0.8792 0.8550 0.2554
0.9949 0.3702 0.4384
0.0128 0.4009 0.6232
0.1643 0.8357 0.8370
0.2446 0.3247 0.8862
0.3247 0.2446 0.3862
0.4009 0.0128 0.1232
0.4862 0.5138 0.1598
0.5138 0.4862 0.6598
0.5991 0.9872 0.6232
0.6753 0.7554 0.8862
0.7554 0.6753 0.3862
0.8357 0.1643 0.3370
0.9872 0.5991 0.1232
```

Calculated values
- Fermi-level density of states: 16.02 states/eV/cell
- VASP energy: -15.253 eV/atom
- DFT formation energy: -754.5 kJ/mol of formula units
- Calculated volume: 9.9 Å³ per atom

=====

Here is NiBPt3 at its PBEsol-relaxed geometry from Alexandria via LeMat-Bulk. Energies are from SCAN.

The structure in POSCAR format:
```
NiBPt3
1.0
4.4526 0.0000 0.0000
0.0000 4.4526 0.0000
0.0000 0.0000 4.4526
Ni B Pt
1 1 3
Direct
0.0000 0.0000 0.0000
0.5000 0.5000 0.5000
0.0000 0.0000 0.5000
0.0000 0.5000 0.0000
0.5000 0.0000 0.0000
```

Calculated values
- Fermi-level density of states: 7.21 states/eV/cell
- VASP energy: -44.894 eV/atom
- DFT formation energy: 936.9 kJ/mol of formula units
- Calculated volume: 17.7 Å³ per atom

=====

Here is RbNiB2Rh at its PBEsol-relaxed geometry from Alexandria via LeMat-Bulk. Energies are from SCAN.

The structure in POSCAR format:
```
RbNiB2Rh
1.0
4.0982 0.0000 0.0000
0.0000 4.0982 0.0000
0.0000 0.0000 4.8765
Rb Ni B Rh
1 1 2 1
Direct
0.0000 0.0000 0.0000
0.5000 0.5000 0.0000
0.0000 0.5000 0.5000
0.5000 0.0000 0.5000
0.5000 0.5000 0.5000
```

Calculated values
- Fermi-level density of states: 2.67 states/eV/cell
- VASP energy: -16.390 eV/atom
- DFT formation energy: 346.8 kJ/mol of formula units
- Calculated volume: 16.4 Å³ per atom

=====

- The lowest Fermi-level density of states belongs to which entry?
  Ni2B2Pd

=====

- Among the records above, which one has the lowest Fermi-level density of states?
  Ni2B2Pd

=====

- The lowest Fermi-level density of states belongs to which entry?
  Ni2B2Pd